[1]
Here is a relaxed structure of BeCuAg2 from Alexandria. Energies are from GGA-PBE.

a = 8.467 Å, b = 8.467 Å, c = 8.467 Å
α = 19.24°, β = 19.24°, γ = 19.24°
Atoms (fractional coordinates):
Be  0.000  0.000  0.000
Cu  0.500  0.500  0.500
Ag  0.256  0.256  0.256
Ag  0.744  0.744  0.744

Results
The calculation puts the density of states at the Fermi level at 0.869 states/eV per cell. For the formation energy, the calculation gives 0.23 eV per atom. As for the density: 8.31 g/cm3. For the magnetization, the calculation gives 0.00 μB per atom.

[2]
Here is a relaxed structure of KRuBr from Alexandria. Energies are from GGA-PBE.

a = 5.327 Å, b = 5.327 Å, c = 5.327 Å
α = 60.00°, β = 60.00°, γ = 60.00°
Atoms (fractional coordinates):
K  0.000  0.000  0.000
Ru  0.750  0.750  0.750
Br  0.250  0.250  0.250

Results
The value obtained for the energy relative to the lowest polymorph listed for this composition is 720 meV/atom. For the uncorrected formation energy, the calculation gives 1.117 eV per atom. The calculation puts the density of states at the Fermi level at 11.642 states/eV per cell. As for the density: 3.42 g/cm3. For the magnetization, the calculation gives 1.04 μB per atom.

[3]
Here is a relaxed structure of V2Cu2Ru from Alexandria. Energies are from GGA-PBE.

a = 6.609 Å, b = 6.609 Å, c = 3.011 Å
α = 90.00°, β = 90.00°, γ = 90.00°
Atoms (fractional coordinates):
V  0.177  0.323  0.000
V  0.323  0.823  0.000
V  0.677  0.177  0.000
V  0.823  0.677  0.000
Cu  0.125  0.625  0.500
Cu  0.375  0.125  0.500
Cu  0.625  0.875  0.500
Cu  0.875  0.375  0.500
Ru  0.000  0.000  0.500
Ru  0.500  0.500  0.500

Results
The calculation puts the density of states at the Fermi level at 7.735 states/eV per cell. For the formation energy, the calculation gives 0.21 eV per atom. As for the density: 8.33 g/cm3. For the magnetization, the calculation gives 0.21 μB per atom.